The following is a GGA-PBE calculation of a relaxed structure of K14AgHg, from the Alexandria database.

abc: 12.3532 9.0744 9.0744
angles: 78.69 90.00 90.00
With the nearest neighbours (Å) after each atom.
Atoms (fractional coordinates):
1 K 0.0000 0.0000 0.0000  8 K 4.37-4.59
2 K 0.0000 0.4521 0.4521  10 K 4.49-4.68
3 K 0.0000 0.5143 0.9389  11 K 4.55-5.02
4 K 0.0000 0.9389 0.5143  11 K 4.55-5.02
5 K 0.2611 0.2105 0.2105  1 Ag 3.84, 1 Hg 3.89, 2 K 4.00
6 K 0.2950 0.8246 0.8246  1 Hg 3.83, 4 K 4.18-4.28
7 K 0.3116 0.3038 0.6912  1 Ag 3.59
8 K 0.3116 0.6912 0.3038  1 Ag 3.59
9 K 0.5000 0.0012 0.4670  1 Ag 3.42
10 K 0.5000 0.4670 0.0012  1 Ag 3.42
11 K 0.6884 0.3038 0.6912  1 Ag 3.59
12 K 0.6884 0.6912 0.3038  1 Ag 3.59
13 K 0.7050 0.8246 0.8246  1 Hg 3.83, 4 K 4.18-4.28
14 K 0.7389 0.2105 0.2105  1 Ag 3.84, 1 Hg 3.89, 2 K 4.00
15 Ag 0.5000 0.3853 0.3853  6 K 3.42-3.59
16 Hg 0.5000 0.0295 0.0295  10 K 3.83-4.25

- E_form (eV/atom) = 0.0073
- calculated density (Mg/m³) = 1.4
- total magnetic moment (Bohr magnetons per cell) = 0.0
- E_tot (eV per atom) = -1.150
- volume (Å³/f.u.) = 997.4
- space-group type = Amm2 (38)